Below is KMgBe2 after structural relaxation, with properties calculated at the PBE-GGA level.

Properties
formation enthalpy at 0 K: 10.939 kcal/mol of atoms
V: 24.675 A^3/atom
raw total energy: -8.2 eV/f.u.
SG: No. 12

a b c (Å): 7.4414 4.2925 6.6831
angles (deg): 90.00 112.37 90.00
With the nearest neighbours (Å) after each atom.
Fractional positions:
K (0.0000, 0.0000, 0.0000)  2 Be 3.18
K (0.5000, 0.5000, 0.0000)  2 Be 3.18
Mg (0.0000, 0.5000, 0.5000)  6 Be 2.48
Mg (0.5000, 0.0000, 0.5000)  6 Be 2.48
Be (0.1720, 0.0000, 0.5151)  3 Mg 2.48, 3 Be 2.48-2.49
Be (0.3280, 0.5000, 0.4849)  3 Mg 2.48, 3 Be 2.48-2.49
Be (0.6720, 0.5000, 0.5151)  3 Mg 2.48, 3 Be 2.48-2.49
Be (0.8280, 0.0000, 0.4849)  3 Mg 2.48, 3 Be 2.48-2.49